A plane-wave DFT calculation with GGA-PBE was carried out for a relaxed structure of TaCo3H.

a b c (Å): 6.7615 6.7615 6.7615
angles (deg): 60.00 60.00 60.00
Sites, in units of the cell vectors:
Ta  0.0000  0.0000  0.0000
Ta  0.0000  0.0000  0.5000
Ta  0.0000  0.5000  0.0000
Ta  0.5000  0.0000  0.0000
Co  0.1878  0.1878  0.5622
Co  0.1878  0.5622  0.1878
Co  0.1878  0.5622  0.5622
Co  0.4378  0.4378  0.8122
Co  0.4378  0.8122  0.4378
Co  0.4378  0.8122  0.8122
Co  0.5622  0.1878  0.1878
Co  0.5622  0.1878  0.5622
Co  0.5622  0.5622  0.1878
Co  0.8122  0.4378  0.4378
Co  0.8122  0.4378  0.8122
Co  0.8122  0.8122  0.4378
H  0.0000  0.5000  0.5000
H  0.5000  0.0000  0.5000
H  0.5000  0.5000  0.0000
H  0.5000  0.5000  0.5000

Relative energy among the computed polymorphs, meV per atom: 384.2
ρ, g cm⁻³: 10.90
Calculated volume, Å³ per cell: 218.6
Fermi-level density of states, states/eV/f.u.: 5.21



A plane-wave DFT calculation with GGA-PBE was carried out for a relaxed structure of TaCo3H.

a b c (Å): 6.5089 6.5089 5.0560
angles (deg): 101.77 101.77 31.79
Sites, in units of the cell vectors:
Ta  0.0845  0.0845  0.2940
Ta  0.9155  0.9155  0.7060
Co  0.1111  0.1111  0.8035
Co  0.3023  0.3023  0.3958
Co  0.3123  0.3123  0.9009
Co  0.6877  0.6877  0.0991
Co  0.6977  0.6977  0.6042
Co  0.8889  0.8889  0.1965
H  0.4076  0.4076  0.2120
H  0.5924  0.5924  0.7880

Relative energy among the computed polymorphs, meV per atom: 311.5
ρ, g cm⁻³: 10.80
Calculated volume, Å³ per cell: 110.3
Fermi-level density of states, states/eV/f.u.: 5.16



A plane-wave DFT calculation with GGA-PBE was carried out for a relaxed structure of Ta2CoH2.

a b c (Å): 5.9989 5.9989 2.8262
angles (deg): 90.00 90.00 90.00
Sites, in units of the cell vectors:
Ta  0.1680  0.3320  0.0000
Ta  0.3320  0.8320  0.0000
Ta  0.6680  0.1680  0.0000
Ta  0.8320  0.6680  0.0000
Co  0.0000  0.0000  0.5000
Co  0.5000  0.5000  0.5000
H  0.1191  0.6191  0.5000
H  0.3809  0.1191  0.5000
H  0.6191  0.8809  0.5000
H  0.8809  0.3809  0.5000

Relative energy among the computed polymorphs, meV per atom: 257.2
ρ, g cm⁻³: 13.81
Calculated volume, Å³ per cell: 101.7
Fermi-level density of states, states/eV/f.u.: 3.43



A plane-wave DFT calculation with GGA-PBE was carried out for a relaxed structure of TaCoH3.

a b c (Å): 4.4209 5.0017 6.6335
angles (deg): 90.00 90.10 90.00
Sites, in units of the cell vectors:
Ta  0.9995  0.2494  0.1192
Ta  0.9995  0.2506  0.6192
Ta  0.0005  0.7494  0.3808
Ta  0.0005  0.7506  0.8808
Co  0.5002  0.1001  0.8156
Co  0.5002  0.3999  0.3156
Co  0.4998  0.6001  0.6844
Co  0.4998  0.8999  0.1844
H  0.2712  0.0893  0.3436
H  0.2712  0.4107  0.8436
H  0.2711  0.5895  0.1563
H  0.2711  0.9105  0.6563
H  0.2774  0.0007  0.0000
H  0.2774  0.4993  0.5000
H  0.7226  0.5007  0.5000
H  0.7226  0.9993  0.0000
H  0.7289  0.0895  0.3437
H  0.7289  0.4105  0.8437
H  0.7288  0.5893  0.1564
H  0.7288  0.9107  0.6564

ρ, g cm⁻³: 11.00
Calculated volume, Å³ per cell: 146.7
DFT total energy, eV for the cell shown: -116.98
Fermi-level density of states, states/eV/f.u.: 1.77